[1]
The following is a PBE-GGA calculation of an optimized crystal structure of Lu2PaC, from the Alexandria database.

Lattice parameters (Å, degrees): 9.568 9.568 9.568 20.07 20.07 20.07
Element x y z (fractional)
1 Lu 0.119 0.119 0.119
2 Lu 0.881 0.881 0.881
3 Pa 0.000 0.000 0.000
4 C 0.500 0.500 0.500

Magnetization ... 0.0 μB/cell
SG ... R-3m
E ... -6.94 eV/atom
N(E_F) ... 4.8 states/eV/cell


[2]
The following is a PBE-GGA calculation of an optimized crystal structure of K2LiCdF, from the Alexandria database.

Lattice parameters (Å, degrees): 6.453 6.453 3.723 90.00 90.00 90.00
Element x y z (fractional)
1 K 0.000 0.500 0.000
2 K 0.500 0.000 0.000
3 Li 0.000 0.000 0.500
4 Cd 0.500 0.500 0.500
5 F 0.000 0.000 0.000

Magnetization ... 0.0 μB/cell
SG ... P4/mmm
Energy relative to the elements, uncorrected ... -1.01 eV per atom
E ... -2.39 eV/atom
N(E_F) ... 1.2 states/eV/cell


[3]
The following is a PBE-GGA calculation of an optimized crystal structure of CaAc8Nd3, from the Alexandria database.

Lattice parameters (Å, degrees): 9.928 9.928 9.928 139.50 122.07 73.06
Element x y z (fractional)
1 Ca 0.000 0.000 0.000
2 Ac 0.056 0.380 0.022
3 Ac 0.092 0.554 0.828
4 Ac 0.274 0.446 0.538
5 Ac 0.358 0.033 0.978
6 Ac 0.642 0.620 0.675
7 Ac 0.726 0.264 0.172
8 Ac 0.908 0.736 0.462
9 Ac 0.944 0.967 0.325
10 Nd 0.386 0.886 0.500
11 Nd 0.500 0.500 0.000
12 Nd 0.614 0.114 0.500

Magnetization ... 0.0 μB/cell
SG ... I222
E ... -3.76 eV/atom
N(E_F) ... 19.4 states/eV/cell


[4]
The following is a PBE-GGA calculation of an optimized crystal structure of LiLaMg2Cu, from the Alexandria database.

Lattice parameters (Å, degrees): 4.969 4.969 4.834 90.00 90.00 90.00
Element x y z (fractional)
1 Li 0.000 0.000 0.000
2 La 0.500 0.500 0.000
3 Mg 0.000 0.500 0.500
4 Mg 0.500 0.000 0.500
5 Cu 0.000 0.000 0.500

Magnetization ... 0.0 μB/cell
SG ... P4/mmm
E ... -2.79 eV/atom
N(E_F) ... 5.5 states/eV/cell